## Ac2Al3Pt2 (PBE)

Data for Ac2Al3Pt2 after structural relaxation.

Computed properties:
Spin magnetization (μB per formula unit): 0.00
DFT total energy (eV/atom): -5.39
N(E_F) (states/eV/f.u.): 4.48

Structure (CIF):
```
data_Ac2Al3Pt2
_cell_length_a 11.573
_cell_length_b 4.261
_cell_length_c 7.561
_cell_angle_alpha 90.00
_cell_angle_beta 120.41
_cell_angle_gamma 90.00
_space_group_name_H-M_alt 'C 1 2/m 1'
_space_group_IT_number 12
loop_
_space_group_symop_operation_xyz
'x,y,z'
'-x,-y,-z'
'-x,y,-z'
'x,-y,z'
'x+1/2,y+1/2,z'
'-x+1/2,-y+1/2,-z'
'-x+1/2,y+1/2,-z'
'x+1/2,-y+1/2,z'
loop_
_atom_site_label
_atom_site_type_symbol
_atom_site_fract_x
_atom_site_fract_y
_atom_site_fract_z
_atom_site_occupancy
Ac1 Ac 0.136 0.000 0.270 1
Al1 Al 0.000 0.500 0.500 1
Al2 Al 0.151 0.500 0.928 1
Pt1 Pt 0.138 0.000 0.716 1
```